Record 1
Material: YSc2Cd6
Method: DFT, PBE
State: relaxed

```
9
Lattice="8.4949 0.0000 0.0000 -4.2475 7.3568 0.0000 0.0000 0.0000 3.2989" Properties=species:S:1:pos:R:3 pbc="T T T"
Y 0.0000 0.0000 0.0000
Sc 0.0000 4.9046 0.0000
Sc 4.2475 2.4523 0.0000
Cd -1.4297 2.4763 1.6494
Cd -2.8178 4.8806 1.6494
Cd 2.8594 0.0000 1.6494
Cd 1.4297 2.4763 1.6494
Cd 5.6356 0.0000 1.6494
Cd 2.8178 4.8806 1.6494
```

Values from the calculation:
SG ... P6/mmm
Crystal system ... hexagonal
ΔH_f (0 K) ... -0.2601 eV per atom
Size of the total moment ... 0.3 μB/cell
Calculated total energy ... -3.00 eV per atom

=====

Record 2
Material: AlAs2Ru
Method: DFT, PBE
State: relaxed

```
12
Lattice="3.3019 0.0000 0.0000 -1.6510 2.8596 0.0000 0.0000 0.0000 21.6560" Properties=species:S:1:pos:R:3 pbc="T T T"
Al 0.0000 0.0000 0.0000
Al 0.0000 1.9064 14.4374
Al 1.6510 0.9532 7.2187
As 0.0000 0.0000 5.3128
As 0.0000 0.0000 16.3432
As 0.0000 1.9064 9.1246
As 0.0000 1.9064 19.7501
As 1.6510 0.9532 1.9059
As 1.6510 0.9532 12.5315
Ru 0.0000 0.0000 10.8280
Ru 0.0000 1.9064 3.6093
Ru 1.6510 0.9532 18.0467
```

Values from the calculation:
SG ... R-3m
Crystal system ... trigonal
ΔH_f (0 K) ... 0.0185 eV per atom
Size of the total moment ... 0.0 μB/cell
Calculated total energy ... -5.56 eV per atom

=====

Record 3
Material: LuCd2Au
Method: DFT, PBE
State: relaxed

```
16
Lattice="6.9450 0.0000 0.0000 0.0000 6.9450 0.0000 0.0000 0.0000 6.9450" Properties=species:S:1:pos:R:3 pbc="T T T"
Lu 0.0000 0.0000 0.0000
Lu 0.0000 3.4725 3.4725
Lu 3.4725 0.0000 3.4725
Lu 3.4725 3.4725 0.0000
Cd 1.7363 1.7363 1.7363
Cd 1.7363 1.7363 5.2088
Cd 1.7363 5.2088 1.7363
Cd 1.7363 5.2088 5.2088
Cd 5.2088 1.7363 1.7363
Cd 5.2088 1.7363 5.2088
Cd 5.2088 5.2088 1.7363
Cd 5.2088 5.2088 5.2088
Au 0.0000 0.0000 3.4725
Au 0.0000 3.4725 0.0000
Au 3.4725 0.0000 0.0000
Au 3.4725 3.4725 3.4725
```

Values from the calculation:
SG ... Fm-3m
Crystal system ... cubic
ΔH_f (0 K) ... -0.3110 eV per atom
Size of the total moment ... 0.0 μB/cell
Calculated total energy ... -2.72 eV per atom

=====

Record 4
Material: LiVGaNi2
Method: DFT, PBE
State: relaxed

```
5
Lattice="4.3255 0.0000 0.0000 0.0000 4.3255 0.0000 0.0000 0.0000 4.8189" Properties=species:S:1:pos:R:3 pbc="T T T"
Li 0.0000 0.0000 0.0000
V 2.1628 2.1628 2.4095
Ga 2.1628 2.1628 0.0000
Ni 0.0000 2.1628 2.4095
Ni 2.1628 0.0000 2.4095
```

Values from the calculation:
SG ... P4/mmm
Crystal system ... tetragonal
ΔH_f (0 K) ... 0.6761 eV per atom
Size of the total moment ... 0.0 μB/cell
Calculated total energy ... -4.45 eV per atom

=====

Record 5
Material: Pm6TmAl
Method: DFT, PBE
State: relaxed

```
8
Lattice="4.9503 0.0000 0.0000 0.0000 4.9503 0.0000 0.0000 0.0000 10.1322" Properties=species:S:1:pos:R:3 pbc="T T T"
Pm 0.0000 0.0000 0.0000
Pm 0.0000 0.0000 5.0661
Pm 0.0000 2.4752 2.4253
Pm 0.0000 2.4752 7.7069
Pm 2.4752 0.0000 2.4253
Pm 2.4752 0.0000 7.7069
Tm 2.4752 2.4752 5.0661
Al 2.4752 2.4752 0.0000
```

Values from the calculation:
SG ... P4/mmm
Crystal system ... tetragonal
ΔH_f (0 K) ... -0.0649 eV per atom
Size of the total moment ... 0.0 μB/cell
Calculated total energy ... -4.65 eV per atom

=====

Record 6
Material: ScAuI2
Method: DFT, PBE
State: relaxed

```
16
Lattice="10.4448 0.0000 0.0000 0.0000 10.4448 0.0000 0.0000 0.0000 5.4492" Properties=species:S:1:pos:R:3 pbc="T T T"
Sc 0.0000 0.0000 0.0000
Sc 0.0000 5.2224 1.3623
Sc 5.2224 0.0000 4.0869
Sc 5.2224 5.2224 2.7246
Au 0.0000 0.0000 2.7246
Au 0.0000 5.2224 4.0869
Au 5.2224 0.0000 1.3623
Au 5.2224 5.2224 0.0000
I 1.0216 7.8336 0.6812
I 2.6112 1.0216 4.7681
I 2.6112 4.2008 2.0435
I 4.2008 7.8336 3.4058
I 6.2440 2.6112 3.4058
I 7.8336 6.2440 2.0435
I 7.8336 9.4232 4.7681
I 9.4232 2.6112 0.6812
```

Values from the calculation:
Formation energy from raw total energies ... -0.567 eV/atom
SG ... I-42d
Offset from the most stable computed form ... 0.000 eV/atom
Crystal system ... tetragonal
Size of the total moment ... 0.0 μB/cell
Calculated total energy ... -3.74 eV per atom

=====

Record 7
Material: Rb3Ce2Cl8
Method: DFT, PBE
State: relaxed

```
13
Lattice="8.1525 -4.3645 0.0000 8.1525 4.3645 0.0000 -2.4299 0.0000 7.4803" Properties=species:S:1:pos:R:3 pbc="T T T"
Rb 0.0000 0.0000 0.0000
Rb 6.9376 2.0618 3.7402
Rb 6.9376 -2.0618 3.7402
Ce 2.7917 0.0000 3.9659
Ce 11.0834 0.0000 3.5144
Cl 4.0363 2.3097 5.2679
Cl 0.3333 0.0000 5.3800
Cl 4.9807 0.0000 2.3064
Cl 9.8388 2.3097 2.2124
Cl 4.0363 -2.3097 5.2679
Cl 8.8944 0.0000 5.1739
Cl 13.5418 0.0000 2.1004
Cl 9.8388 -2.3097 2.2124
```

Values from the calculation:
Formation energy from raw total energies ... -1.994 eV/atom
SG ... C2/m
Crystal system ... monoclinic
Size of the total moment ... 3.0 μB/cell
Calculated total energy ... -4.27 eV per atom

=====

Record 8
Material: Li4Tb3TmS8
Method: DFT, PBE
State: relaxed

```
16
Lattice="3.9143 2.2599 6.1764 -3.9143 2.2599 6.1764 0.0000 -4.5199 6.1764" Properties=species:S:1:pos:R:3 pbc="T T T"
Li 0.0000 0.0000 0.0000
Li -1.9572 -1.1300 6.1764
Li -1.9572 1.1300 12.3527
Li 0.0000 2.2599 6.1764
Tb -3.9143 0.0000 9.2645
Tb -1.9572 1.1300 3.0882
Tb 1.9572 1.1300 3.0882
Tm 0.0000 0.0000 9.2646
S 0.0000 0.0000 4.6435
S 0.0000 -2.2318 7.7210
S -1.9328 1.1159 7.7210
S -1.9328 -1.1159 10.8081
S 1.9328 1.1159 7.7210
S 1.9328 -1.1159 10.8081
S 0.0000 2.2318 10.8081
S 0.0000 0.0000 13.8856
```

Values from the calculation:
Formation energy from raw total energies ... -1.848 eV/atom
SG ... R-3m
Crystal system ... trigonal
Size of the total moment ... 0.0 μB/cell
Calculated total energy ... -5.54 eV per atom

=====

Record 9
Material: LaPr2Ir
Method: DFT, PBE
State: relaxed

```
12
Lattice="4.1252 0.0000 0.0000 -2.0626 3.5726 0.0000 0.0000 0.0000 28.1350" Properties=species:S:1:pos:R:3 pbc="T T T"
La 0.0000 0.0000 0.0000
La 0.0000 2.3817 18.7567
La 2.0626 1.1909 9.3783
Pr 0.0000 0.0000 15.5926
Pr 0.0000 0.0000 21.8176
Pr 0.0000 2.3817 6.2143
Pr 0.0000 2.3817 12.4392
Pr 2.0626 1.1909 3.0609
Pr 2.0626 1.1909 24.9709
Ir 0.0000 0.0000 4.6334
Ir 0.0000 2.3817 23.3900
Ir 2.0626 1.1909 14.0117
```

Values from the calculation:
SG ... R3m
Offset from the most stable computed form ... 0.188 eV/atom
Crystal system ... trigonal
ΔH_f (0 K) ... -0.2635 eV per atom
Size of the total moment ... 0.0 μB/cell
Calculated total energy ... -6.10 eV per atom

=====

Record 10
Material: CrRe2Ru
Method: DFT, PBE
State: relaxed

```
4
Lattice="2.7214 0.0000 0.0000 0.0000 2.7214 0.0000 0.0000 0.0000 7.5622" Properties=species:S:1:pos:R:3 pbc="T T T"
Cr 0.0000 0.0000 0.0000
Re 0.0000 0.0000 3.8509
Re 1.3607 1.3607 1.8244
Ru 1.3607 1.3607 5.8215
```

Values from the calculation:
SG ... P4mm
Offset from the most stable computed form ... 0.014 eV/atom
Crystal system ... tetragonal
ΔH_f (0 K) ... 0.1115 eV per atom
Size of the total moment ... 0.0 μB/cell
Calculated total energy ... -10.84 eV per atom

=====

Record 11
Material: K2MgTc
Method: DFT, PBE
State: relaxed

```
4
Lattice="3.5669 0.0000 0.0000 0.0000 3.5669 0.0000 0.0000 0.0000 10.7001" Properties=species:S:1:pos:R:3 pbc="T T T"
K 0.0000 0.0000 0.0000
K 1.7835 1.7835 4.2425
Mg 0.0000 0.0000 7.0460
Tc 1.7835 1.7835 8.1514
```

Values from the calculation:
SG ... P4mm
Crystal system ... tetragonal
ΔH_f (0 K) ... 0.7795 eV per atom
Size of the total moment ... 2.2 μB/cell
Calculated total energy ... -2.76 eV per atom

=====

Record 12
Material: PrDy2Tl
Method: DFT, PBE
State: relaxed

```
16
Lattice="7.8044 0.0000 0.0000 0.0000 7.8044 0.0000 0.0000 0.0000 7.8044" Properties=species:S:1:pos:R:3 pbc="T T T"
Pr 0.0000 0.0000 0.0000
Pr 0.0000 3.9022 3.9022
Pr 3.9022 0.0000 3.9022
Pr 3.9022 3.9022 0.0000
Dy 1.9511 1.9511 1.9511
Dy 1.9511 1.9511 5.8533
Dy 1.9511 5.8533 1.9511
Dy 1.9511 5.8533 5.8533
Dy 5.8533 1.9511 1.9511
Dy 5.8533 1.9511 5.8533
Dy 5.8533 5.8533 1.9511
Dy 5.8533 5.8533 5.8533
Tl 0.0000 0.0000 3.9022
Tl 0.0000 3.9022 0.0000
Tl 3.9022 0.0000 0.0000
Tl 3.9022 3.9022 3.9022
```

Values from the calculation:
SG ... Fm-3m
Offset from the most stable computed form ... 0.180 eV/atom
Crystal system ... cubic
ΔH_f (0 K) ... -0.0032 eV per atom
Size of the total moment ... 6.6 μB/cell
Calculated total energy ... -4.09 eV per atom

=====

no.,calculated volume (Å³ per atom)
1,22.91
2,17.04
3,20.94
4,18.03
5,31.04
6,37.15
7,40.95
8,20.49
9,34.55
10,14.00
11,34.03
12,29.71